Computed, not measured: a geometry-optimized Pm5Co3Sn3 structure at the GGA-PBE level of DFT.

The structure in extended XYZ format:
```
11
Lattice="4.733 0.000 0.000 0.000 8.633 0.000 0.000 -4.317 7.477" Properties=species:S:1:pos:R:3 pbc="T T T"
Pm 2.366 0.000 4.984
Pm 2.366 4.317 2.492
Pm 2.366 1.072 1.857
Pm 2.366 -3.244 5.620
Pm 2.366 6.489 0.000
Co 2.366 2.849 4.935
Co 2.366 -1.468 2.542
Co 2.366 2.935 0.000
Sn 0.000 2.567 4.446
Sn 0.000 3.500 0.000
Sn 0.000 -1.750 3.031
```

The calculation puts the electronic total energy at -5.34 eV/atom. The calculation puts the density of states at the Fermi level at 8.94 states/eV per cell.



Computed, not measured: a geometry-optimized Pm8CoSn2 structure at the GGA-PBE level of DFT.

The structure in extended XYZ format:
```
11
Lattice="4.921 0.000 0.000 0.000 7.037 0.355 -2.460 -2.467 9.364" Properties=species:S:1:pos:R:3 pbc="T T T"
Pm 0.000 1.591 7.813
Pm 2.460 -0.603 2.634
Pm 2.460 3.344 5.548
Pm 2.460 -0.881 9.234
Pm 0.000 1.226 4.171
Pm 0.000 5.172 7.085
Pm 2.460 2.978 1.905
Pm 0.000 5.450 0.485
Co 2.460 0.000 0.000
Sn 2.460 0.085 6.042
Sn 0.000 4.485 3.677
```

The calculation puts the electronic total energy at -5.13 eV/atom. The calculation puts the density of states at the Fermi level at 10.63 states/eV per cell.



Computed, not measured: a geometry-optimized Pm4CoSn5 structure at the GGA-PBE level of DFT.

The structure in extended XYZ format:
```
10
Lattice="6.263 0.000 0.000 3.132 6.618 0.000 3.132 0.000 6.618" Properties=species:S:1:pos:R:3 pbc="T T T"
Pm 5.981 2.421 4.895
Pm 9.112 4.895 4.197
Pm 2.849 1.723 2.421
Pm 5.981 4.197 1.723
Co 1.280 0.000 0.000
Sn 9.200 2.078 5.784
Sn 6.068 5.784 4.540
Sn 6.068 0.834 2.078
Sn 2.937 4.540 0.834
Sn 3.827 0.000 0.000
```

The calculation puts the electronic total energy at -5.00 eV/atom. The calculation puts the density of states at the Fermi level at 9.90 states/eV per cell.



Computed, not measured: a geometry-optimized Pm12Co2Sn5 structure at the GGA-PBE level of DFT.

The structure in extended XYZ format:
```
19
Lattice="-6.715 -3.036 -2.051 4.734 -5.208 6.473 -4.729 6.872 5.307" Properties=species:S:1:pos:R:3 pbc="T T T"
Pm -2.805 -7.032 5.326
Pm -1.824 2.426 9.148
Pm -5.010 0.985 8.174
Pm 0.673 -1.012 6.572
Pm -2.753 -2.562 5.526
Pm -2.243 -1.459 9.502
Pm -4.466 0.087 0.228
Pm -7.382 -0.359 3.157
Pm -3.956 1.190 4.204
Pm -4.886 -3.797 0.582
Pm -1.699 -2.357 1.555
Pm -3.905 5.660 4.404
Co -4.694 -2.122 -1.434
Co -2.021 -0.914 -0.617
Sn -2.193 0.295 6.740
Sn 0.062 -2.991 4.223
Sn -2.364 3.436 2.654
Sn -6.772 1.620 5.507
Sn -4.517 -1.667 2.989
```

The calculation puts the electronic total energy at -5.12 eV/atom. The calculation puts the density of states at the Fermi level at 19.11 states/eV per cell.



Copy entry 1 word for word.
Computed, not measured: a geometry-optimized Pm5Co3Sn3 structure at the GGA-PBE level of DFT.

The structure in extended XYZ format:
```
11
Lattice="4.733 0.000 0.000 0.000 8.633 0.000 0.000 -4.317 7.477" Properties=species:S:1:pos:R:3 pbc="T T T"
Pm 2.366 0.000 4.984
Pm 2.366 4.317 2.492
Pm 2.366 1.072 1.857
Pm 2.366 -3.244 5.620
Pm 2.366 6.489 0.000
Co 2.366 2.849 4.935
Co 2.366 -1.468 2.542
Co 2.366 2.935 0.000
Sn 0.000 2.567 4.446
Sn 0.000 3.500 0.000
Sn 0.000 -1.750 3.031
```

The calculation puts the electronic total energy at -5.34 eV/atom. The calculation puts the density of states at the Fermi level at 8.94 states/eV per cell.



> What is the formula in the third record?

Pm4CoSn5



> The highest electronic total energy belongs to which entry?

Pm4CoSn5